First-principles (GGA+U) data for a geometry-optimized SrMnAgF6 structure, as listed in Alexandria via LeMat-Bulk.

Output
- E (eV/atom) = -5.0594
- calculated volume (Å³ per atom) = 16.2

Cell: 5.262 5.262 10.524 Å, 90.00 90.00 90.00°
Space group P4_2nm (No. 102)
Asymmetric unit:
Sr: 0.000 0.000 0.000 [2 per cell]
Mn: 0.000 0.000 0.663 [2 per cell]
Ag: 0.000 0.000 0.326 [2 per cell]
F: 0.175 0.175 0.800 [4 per cell]
F: 0.178 0.178 0.528 [4 per cell]
F: 0.240 0.240 0.159 [4 per cell]